(1)
# PBE TmTcGe2, relaxed
data_TmTcGe2
_chemical_formula_sum 'Tm1 Tc1 Ge2'
_cell_length_a 4.609
_cell_length_b 4.609
_cell_length_c 4.609
_cell_angle_alpha 60.00
_cell_angle_beta 60.00
_cell_angle_gamma 60.00
_space_group_name_H-M_alt 'P 1'
_space_group_IT_number 1
_space_group_name_Hall 'P 1'
loop_
_atom_site_label
_atom_site_fract_x
_atom_site_fract_y
_atom_site_fract_z
Ge1 0.250 0.250 0.250
Ge2 0.750 0.750 0.750
Tm1 0.000 0.000 0.000
Tc1 0.500 0.500 0.500
# E above lowest polymorph, kJ per mole of atoms: 26.3
# ΔH_f (0 K), meV per atom: -316

---

(2)
# PBE Tm2Tc3Ge4, relaxed
data_Tm2Tc3Ge4
_chemical_formula_sum 'Tm2 Tc3 Ge4'
_cell_length_a 5.406
_cell_length_b 5.406
_cell_length_c 6.997
_cell_angle_alpha 101.22
_cell_angle_beta 101.22
_cell_angle_gamma 119.74
_space_group_name_H-M_alt 'P 1'
_space_group_IT_number 1
_space_group_name_Hall 'P 1'
loop_
_atom_site_label
_atom_site_fract_x
_atom_site_fract_y
_atom_site_fract_z
Tm1 0.634 0.634 0.268
Tm2 0.366 0.366 0.732
Tc1 0.500 0.000 0.000
Tc2 0.000 0.000 0.000
Tc3 0.000 0.500 0.000
Ge1 0.002 0.674 0.675
Ge2 0.674 0.002 0.675
Ge3 0.998 0.326 0.325
Ge4 0.326 0.998 0.325
# E above lowest polymorph, kJ per mole of atoms: 17.9
# ΔH_f (0 K), meV per atom: -384

---

(3)
# PBE Tm2TcGe2, relaxed
data_Tm2TcGe2
_chemical_formula_sum 'Tm4 Tc2 Ge4'
_cell_length_a 5.959
_cell_length_b 6.120
_cell_length_c 7.302
_cell_angle_alpha 114.78
_cell_angle_beta 114.08
_cell_angle_gamma 90.00
_space_group_name_H-M_alt 'P 1'
_space_group_IT_number 1
_space_group_name_Hall 'P 1'
loop_
_atom_site_label
_atom_site_fract_x
_atom_site_fract_y
_atom_site_fract_z
Tm1 0.837 0.598 0.674
Tm2 0.163 0.402 0.326
Tm3 0.663 0.925 0.326
Tm4 0.337 0.075 0.674
Tc1 0.750 0.500 0.000
Tc2 0.250 0.500 0.000
Ge1 0.415 0.709 0.831
Ge2 0.585 0.291 0.169
Ge3 0.085 0.879 0.169
Ge4 0.915 0.121 0.831
# E above lowest polymorph, kJ per mole of atoms: 18.3
# ΔH_f (0 K), meV per atom: -499

---

(4)
# PBE Tm2TcGe2, relaxed
data_Tm2TcGe2
_chemical_formula_sum 'Tm4 Tc2 Ge4'
_cell_length_a 4.207
_cell_length_b 5.820
_cell_length_c 9.221
_cell_angle_alpha 89.31
_cell_angle_beta 76.81
_cell_angle_gamma 68.81
_space_group_name_H-M_alt 'P 1'
_space_group_IT_number 1
_space_group_name_Hall 'P 1'
loop_
_atom_site_label
_atom_site_fract_x
_atom_site_fract_y
_atom_site_fract_z
Tm1 0.672 0.331 0.325
Tm2 0.927 0.258 0.888
Tm3 0.328 0.669 0.675
Tm4 0.073 0.742 0.112
Tc1 0.641 0.085 0.633
Tc2 0.359 0.915 0.367
Ge1 0.077 0.283 0.563
Ge2 0.634 0.855 0.878
Ge3 0.923 0.717 0.437
Ge4 0.366 0.145 0.122
# E above lowest polymorph, kJ per mole of atoms: 0.0
# ΔH_f (0 K), meV per atom: -688

---

(5)
# PBE Tm2Tc3Ge4, relaxed
data_Tm2Tc3Ge4
_chemical_formula_sum 'Tm4 Tc6 Ge8'
_cell_length_a 6.876
_cell_length_b 6.917
_cell_length_c 6.898
_cell_angle_alpha 90.00
_cell_angle_beta 90.00
_cell_angle_gamma 110.25
_space_group_name_H-M_alt 'P 1'
_space_group_IT_number 1
_space_group_name_Hall 'P 1'
loop_
_atom_site_label
_atom_site_fract_x
_atom_site_fract_y
_atom_site_fract_z
Tm1 0.552 0.192 0.330
Tm2 0.948 0.808 0.830
Tm3 0.448 0.808 0.670
Tm4 0.052 0.192 0.170
Tc1 0.000 0.500 0.500
Tc2 0.500 0.500 0.000
Tc3 0.758 0.236 0.855
Tc4 0.742 0.764 0.355
Tc5 0.242 0.764 0.145
Tc6 0.258 0.236 0.645
Ge1 0.868 0.103 0.552
Ge2 0.632 0.897 0.052
Ge3 0.132 0.897 0.448
Ge4 0.368 0.103 0.948
Ge5 0.863 0.513 0.146
Ge6 0.637 0.487 0.646
Ge7 0.137 0.487 0.854
Ge8 0.363 0.513 0.354
# E above lowest polymorph, kJ per mole of atoms: 0.0
# ΔH_f (0 K), meV per atom: -570

---

(6)
# PBE Tm2Tc3Ge5, relaxed
data_Tm2Tc3Ge5
_chemical_formula_sum 'Tm4 Tc6 Ge10'
_cell_length_a 5.692
_cell_length_b 8.585
_cell_length_c 8.585
_cell_angle_alpha 69.59
_cell_angle_beta 70.64
_cell_angle_gamma 70.64
_space_group_name_H-M_alt 'P 1'
_space_group_IT_number 1
_space_group_name_Hall 'P 1'
loop_
_atom_site_label
_atom_site_fract_x
_atom_site_fract_y
_atom_site_fract_z
Tm1 0.142 0.597 0.119
Tm2 0.642 0.119 0.597
Tm3 0.858 0.403 0.881
Tm4 0.358 0.881 0.403
Tc1 0.348 0.571 0.733
Tc2 0.848 0.733 0.571
Tc3 0.652 0.429 0.267
Tc4 0.152 0.267 0.429
Tc5 0.250 0.000 0.000
Tc6 0.750 0.000 0.000
Ge1 0.414 0.274 0.898
Ge2 0.914 0.898 0.274
Ge3 0.586 0.726 0.102
Ge4 0.086 0.102 0.726
Ge5 0.453 0.797 0.797
Ge6 0.547 0.203 0.203
Ge7 0.750 0.500 0.500
Ge8 0.250 0.500 0.500
Ge9 0.047 0.203 0.203
Ge10 0.953 0.797 0.797
# ΔH_f (0 K), meV per atom: -474

---

(7)
# PBE TmTc2Ge2, relaxed
data_TmTc2Ge2
_chemical_formula_sum 'Tm2 Tc4 Ge4'
_cell_length_a 5.768
_cell_length_b 5.768
_cell_length_c 7.395
_cell_angle_alpha 100.25
_cell_angle_beta 100.25
_cell_angle_gamma 123.02
_space_group_name_H-M_alt 'P 1'
_space_group_IT_number 1
_space_group_name_Hall 'P 1'
loop_
_atom_site_label
_atom_site_fract_x
_atom_site_fract_y
_atom_site_fract_z
Tm1 0.875 0.625 0.750
Tm2 0.125 0.375 0.250
Tc1 0.267 0.017 0.533
Tc2 0.517 0.767 0.033
Tc3 0.733 0.983 0.467
Tc4 0.483 0.233 0.967
Ge1 0.178 0.322 0.750
Ge2 0.428 0.072 0.250
Ge3 0.572 0.928 0.750
Ge4 0.822 0.678 0.250
# E above lowest polymorph, kJ per mole of atoms: 14.6
# ΔH_f (0 K), meV per atom: -288

---

(8)
# PBE TmTcGe2, relaxed
data_TmTcGe2
_chemical_formula_sum 'Tm2 Tc2 Ge4'
_cell_length_a 4.079
_cell_length_b 7.600
_cell_length_c 5.411
_cell_angle_alpha 106.75
_cell_angle_beta 112.14
_cell_angle_gamma 90.00
_space_group_name_H-M_alt 'P 1'
_space_group_IT_number 1
_space_group_name_Hall 'P 1'
loop_
_atom_site_label
_atom_site_fract_x
_atom_site_fract_y
_atom_site_fract_z
Tm1 0.750 0.250 0.000
Tm2 0.250 0.750 0.000
Tc1 0.000 0.000 0.500
Tc2 0.500 0.500 0.500
Ge1 0.914 0.642 0.328
Ge2 0.414 0.142 0.328
Ge3 0.586 0.858 0.672
Ge4 0.086 0.358 0.672
# E above lowest polymorph, kJ per mole of atoms: 14.4
# ΔH_f (0 K), meV per atom: -438

---

(9)
# PBE TmTc6Ge6, relaxed
data_TmTc6Ge6
_chemical_formula_sum 'Tm1 Tc6 Ge6'
_cell_length_a 5.398
_cell_length_b 6.822
_cell_length_c 6.822
_cell_angle_alpha 76.21
_cell_angle_beta 66.70
_cell_angle_gamma 66.70
_space_group_name_H-M_alt 'P 1'
_space_group_IT_number 1
_space_group_name_Hall 'P 1'
loop_
_atom_site_label
_atom_site_fract_x
_atom_site_fract_y
_atom_site_fract_z
Tm1 0.000 0.000 0.000
Tc1 0.000 0.500 0.000
Tc2 0.500 0.500 0.000
Tc3 0.000 0.000 0.500
Tc4 0.500 0.000 0.500
Tc5 0.500 0.745 0.255
Tc6 0.500 0.255 0.745
Ge1 0.331 0.669 0.669
Ge2 0.669 0.331 0.331
Ge3 0.000 0.349 0.651
Ge4 0.000 0.651 0.349
Ge5 0.335 0.165 0.165
Ge6 0.665 0.835 0.835
# ΔH_f (0 K), meV per atom: -184

---

(10)
# PBE TmTcGe2, relaxed
data_TmTcGe2
_chemical_formula_sum 'Tm1 Tc1 Ge2'
_cell_length_a 4.660
_cell_length_b 4.660
_cell_length_c 7.064
_cell_angle_alpha 70.74
_cell_angle_beta 70.74
_cell_angle_gamma 60.00
_space_group_name_H-M_alt 'P 1'
_space_group_IT_number 1
_space_group_name_Hall 'P 1'
loop_
_atom_site_label
_atom_site_fract_x
_atom_site_fract_y
_atom_site_fract_z
Ge1 0.123 0.123 0.632
Ge2 0.877 0.877 0.368
Tm1 0.500 0.500 0.500
Tc1 0.000 0.000 0.000
# E above lowest polymorph, kJ per mole of atoms: 151.9
# ΔH_f (0 K), meV per atom: 986

---

(11)
# PBE TmTc3Ge3, relaxed
data_TmTc3Ge3
_chemical_formula_sum 'Tm2 Tc6 Ge6'
_cell_length_a 4.784
_cell_length_b 7.612
_cell_length_c 7.612
_cell_angle_alpha 120.00
_cell_angle_beta 90.00
_cell_angle_gamma 90.00
_space_group_name_H-M_alt 'P 1'
_space_group_IT_number 1
_space_group_name_Hall 'P 1'
loop_
_atom_site_label
_atom_site_fract_x
_atom_site_fract_y
_atom_site_fract_z
Tm1 0.250 0.667 0.333
Tm2 0.750 0.333 0.667
Tc1 0.750 0.904 0.353
Tc2 0.750 0.449 0.096
Tc3 0.250 0.353 0.449
Tc4 0.750 0.647 0.551
Tc5 0.250 0.551 0.904
Tc6 0.250 0.096 0.647
Ge1 0.750 0.732 0.978
Ge2 0.750 0.246 0.268
Ge3 0.250 0.978 0.246
Ge4 0.750 0.022 0.754
Ge5 0.250 0.754 0.732
Ge6 0.250 0.268 0.022
# E above lowest polymorph, kJ per mole of atoms: 0.0
# ΔH_f (0 K), meV per atom: 97

---

(12)
# PBE TmTcGe2, relaxed
data_TmTcGe2
_chemical_formula_sum 'Tm1 Tc1 Ge2'
_cell_length_a 3.222
_cell_length_b 3.222
_cell_length_c 6.789
_cell_angle_alpha 90.00
_cell_angle_beta 90.00
_cell_angle_gamma 90.00
_space_group_name_H-M_alt 'P 1'
_space_group_IT_number 1
_space_group_name_Hall 'P 1'
loop_
_atom_site_label
_atom_site_fract_x
_atom_site_fract_y
_atom_site_fract_z
Ge1 0.000 0.000 0.796
Ge2 0.000 0.000 0.204
Tm1 0.500 0.500 0.500
Tc1 0.500 0.500 0.000
# E above lowest polymorph, kJ per mole of atoms: 22.8
# ΔH_f (0 K), meV per atom: -352

---

(13)
# PBE TmTcGe2, relaxed
data_TmTcGe2
_chemical_formula_sum 'Tm6 Tc6 Ge12'
_cell_length_a 5.438
_cell_length_b 8.448
_cell_length_c 10.621
_cell_angle_alpha 113.43
_cell_angle_beta 104.83
_cell_angle_gamma 90.00
_space_group_name_H-M_alt 'P 1'
_space_group_IT_number 1
_space_group_name_Hall 'P 1'
loop_
_atom_site_label
_atom_site_fract_x
_atom_site_fract_y
_atom_site_fract_z
Tm1 0.907 0.162 0.813
Tm2 0.093 0.838 0.187
Tm3 0.093 0.348 0.187
Tm4 0.907 0.652 0.813
Tm5 0.358 0.358 0.716
Tm6 0.642 0.642 0.284
Tc1 0.000 0.000 0.500
Tc2 0.500 0.000 0.500
Tc3 0.000 0.500 0.500
Tc4 0.500 0.500 0.500
Tc5 0.500 0.249 0.000
Tc6 0.500 0.751 0.000
Ge1 0.235 0.000 0.000
Ge2 0.765 0.000 0.000
Ge3 0.760 0.500 0.000
Ge4 0.240 0.500 0.000
Ge5 0.801 0.801 0.601
Ge6 0.199 0.199 0.399
Ge7 0.202 0.702 0.404
Ge8 0.798 0.298 0.596
Ge9 0.637 0.986 0.273
Ge10 0.363 0.014 0.727
Ge11 0.363 0.713 0.727
Ge12 0.637 0.287 0.273
# E above lowest polymorph, kJ per mole of atoms: 0.0
# ΔH_f (0 K), meV per atom: -588

---

(14)
# PBE U4Tc3Ge2, relaxed
data_U4Tc3Ge2
_chemical_formula_sum 'U4 Tc3 Ge2'
_cell_length_a 3.299
_cell_length_b 8.574
_cell_length_c 8.574
_cell_angle_alpha 44.24
_cell_angle_beta 78.91
_cell_angle_gamma 78.91
_space_group_name_H-M_alt 'P 1'
_space_group_IT_number 1
_space_group_name_Hall 'P 1'
loop_
_atom_site_label
_atom_site_fract_x
_atom_site_fract_y
_atom_site_fract_z
U1 0.188 0.512 0.112
U2 0.812 0.888 0.488
U3 0.812 0.488 0.888
U4 0.188 0.112 0.512
Tc1 0.403 0.097 0.097
Tc2 0.500 0.500 0.500
Tc3 0.597 0.903 0.903
Ge1 0.000 0.791 0.209
Ge2 0.000 0.209 0.791
# ΔH_f (0 K), meV per atom: 111

---

(15)
# PBE UTcGe, relaxed
data_UTcGe
_chemical_formula_sum 'U2 Tc2 Ge2'
_cell_length_a 4.232
_cell_length_b 4.232
_cell_length_c 6.882
_cell_angle_alpha 90.00
_cell_angle_beta 90.00
_cell_angle_gamma 110.89
_space_group_name_H-M_alt 'P 1'
_space_group_IT_number 1
_space_group_name_Hall 'P 1'
loop_
_atom_site_label
_atom_site_fract_x
_atom_site_fract_y
_atom_site_fract_z
Tc1 0.866 0.332 0.750
Tc2 0.332 0.866 0.250
Ge1 0.958 0.240 0.250
Ge2 0.240 0.958 0.750
U1 0.599 0.599 0.000
U2 0.599 0.599 0.500
# E above lowest polymorph, kJ per mole of atoms: 0.0
# ΔH_f (0 K), meV per atom: -262

---

(16)
# PBE UTc5Ge8, relaxed
data_UTc5Ge8
_chemical_formula_sum 'U1 Tc5 Ge8'
_cell_length_a 6.677
_cell_length_b 6.677
_cell_length_c 6.677
_cell_angle_alpha 110.65
_cell_angle_beta 107.15
_cell_angle_gamma 110.65
_space_group_name_H-M_alt 'P 1'
_space_group_IT_number 1
_space_group_name_Hall 'P 1'
loop_
_atom_site_label
_atom_site_fract_x
_atom_site_fract_y
_atom_site_fract_z
U1 0.250 0.500 0.750
Tc1 0.065 0.386 0.133
Tc2 0.867 0.932 0.253
Tc3 0.747 0.614 0.679
Tc4 0.500 0.000 0.500
Tc5 0.321 0.068 0.935
Ge1 0.115 0.762 0.069
Ge2 0.931 0.046 0.693
Ge3 0.732 0.261 0.336
Ge4 0.664 0.396 0.925
Ge5 0.529 0.604 0.268
Ge6 0.647 0.954 0.885
Ge7 0.307 0.238 0.353
Ge8 0.075 0.739 0.471
# ΔH_f (0 K), meV per atom: 42

---

(17)
# PBE UTcGe2, relaxed
data_UTcGe2
_chemical_formula_sum 'U1 Tc1 Ge2'
_cell_length_a 4.645
_cell_length_b 4.645
_cell_length_c 4.645
_cell_angle_alpha 60.00
_cell_angle_beta 60.00
_cell_angle_gamma 60.00
_space_group_name_H-M_alt 'P 1'
_space_group_IT_number 1
_space_group_name_Hall 'P 1'
loop_
_atom_site_label
_atom_site_fract_x
_atom_site_fract_y
_atom_site_fract_z
Ge1 0.250 0.250 0.250
Ge2 0.750 0.750 0.750
U1 0.000 0.000 0.000
Tc1 0.500 0.500 0.500
# E above lowest polymorph, kJ per mole of atoms: 15.3
# ΔH_f (0 K), meV per atom: -92

---

(18)
# PBE UTc3Ge, relaxed
data_UTc3Ge
_chemical_formula_sum 'U2 Tc6 Ge2'
_cell_length_a 6.248
_cell_length_b 6.248
_cell_length_c 6.248
_cell_angle_alpha 104.45
_cell_angle_beta 127.56
_cell_angle_gamma 98.10
_space_group_name_H-M_alt 'P 1'
_space_group_IT_number 1
_space_group_name_Hall 'P 1'
loop_
_atom_site_label
_atom_site_fract_x
_atom_site_fract_y
_atom_site_fract_z
U1 0.995 0.745 0.750
U2 0.005 0.255 0.250
Tc1 0.500 0.323 0.323
Tc2 0.000 0.677 0.177
Tc3 0.500 0.677 0.677
Tc4 0.000 0.323 0.823
Tc5 0.720 0.970 0.250
Tc6 0.280 0.030 0.750
Ge1 0.500 0.500 0.000
Ge2 0.500 0.000 0.500
# ΔH_f (0 K), meV per atom: -72

---

(19)
# PBE UTcGe, relaxed
data_UTcGe
_chemical_formula_sum 'U2 Tc2 Ge2'
_cell_length_a 6.469
_cell_length_b 6.602
_cell_length_c 5.486
_cell_angle_alpha 52.08
_cell_angle_beta 59.52
_cell_angle_gamma 36.68
_space_group_name_H-M_alt 'P 1'
_space_group_IT_number 1
_space_group_name_Hall 'P 1'
loop_
_atom_site_label
_atom_site_fract_x
_atom_site_fract_y
_atom_site_fract_z
U1 0.488 0.268 0.957
U2 0.352 0.488 0.354
Tc1 0.678 0.724 0.411
Tc2 0.162 0.031 0.900
Ge1 0.052 0.073 0.464
Ge2 0.788 0.682 0.847
# E above lowest polymorph, kJ per mole of atoms: 12.0
# ΔH_f (0 K), meV per atom: -137

---

(20)
# PBE U4Tc7Ge6, relaxed
data_U4Tc7Ge6
_chemical_formula_sum 'U4 Tc7 Ge6'
_cell_length_a 7.223
_cell_length_b 7.223
_cell_length_c 7.223
_cell_angle_alpha 109.47
_cell_angle_beta 109.47
_cell_angle_gamma 109.47
_space_group_name_H-M_alt 'P 1'
_space_group_IT_number 1
_space_group_name_Hall 'P 1'
loop_
_atom_site_label
_atom_site_fract_x
_atom_site_fract_y
_atom_site_fract_z
U1 0.500 0.500 0.500
U2 0.000 0.000 0.500
U3 0.500 0.000 0.000
U4 0.000 0.500 0.000
Tc1 0.750 0.250 0.500
Tc2 0.500 0.250 0.750
Tc3 0.500 0.750 0.250
Tc4 0.250 0.500 0.750
Tc5 0.750 0.500 0.250
Tc6 0.250 0.750 0.500
Tc7 0.000 0.000 0.000
Ge1 0.307 0.307 0.000
Ge2 0.000 0.307 0.307
Ge3 0.000 0.693 0.693
Ge4 0.693 0.000 0.693
Ge5 0.307 0.000 0.307
Ge6 0.693 0.693 0.000
# ΔH_f (0 K), meV per atom: -446